# 1
Below is a relaxed structure of BaCa3Rh, with properties calculated at the PBE level.

a = 14.8163 Å, b = 10.1437 Å, c = 10.1437 Å
α = 93.23°, β = 129.77°, γ = 50.23°
Atoms (fractional coordinates):
Ca (0.4081, 0.2484, 0.2067)
Ca (0.0919, 0.7067, 0.7484)
Ca (0.5919, 0.7516, 0.7933)
Ca (0.9081, 0.2933, 0.2516)
Ca (0.1271, 0.2490, 0.1390)
Ca (0.3729, 0.6390, 0.7490)
Ca (0.8729, 0.7510, 0.8610)
Ca (0.6271, 0.3610, 0.2510)
Ca (0.3151, 0.3734, 0.5201)
Ca (0.1849, 0.0201, 0.8734)
Ca (0.6849, 0.6266, 0.4799)
Ca (0.8151, 0.9799, 0.1266)
Rh (0.9513, 0.5567, 0.1891)
Rh (0.5487, 0.6891, 0.0567)
Rh (0.0487, 0.4433, 0.8109)
Rh (0.4513, 0.3109, 0.9433)
Ba (0.7500, 0.2444, 0.7444)
Ba (0.2500, 0.7556, 0.2556)
Ba (0.7500, 0.7778, 0.2778)
Ba (0.2500, 0.2222, 0.7222)

## Properties
**ΔE_f**: -0.166 eV per atom
**Space group**: C2/c (15)
**Relative energy among the computed polymorphs**: 0.062 eV/atom
**V**: 722.3 Å³/cell

***

# 2
Below is a relaxed structure of YAgF3, with properties calculated at the PBE level.

a = 4.4600 Å, b = 4.4600 Å, c = 4.4600 Å
α = 90.00°, β = 90.00°, γ = 90.00°
Atoms (fractional coordinates):
Y (0.0000, 0.0000, 0.0000)
Ag (0.5000, 0.5000, 0.5000)
F (0.0000, 0.5000, 0.0000)
F (0.0000, 0.0000, 0.5000)
F (0.5000, 0.0000, 0.0000)

## Properties
**Space group**: Pm-3m (221)
**Relative energy among the computed polymorphs**: 0.000 eV/atom
**V**: 88.7 Å³/cell

***

# 3
Below is a relaxed structure of MgIn2Ir, with properties calculated at the PBE level.

a = 4.0628 Å, b = 3.1910 Å, c = 6.6866 Å
α = 61.34°, β = 90.00°, γ = 90.00°
Atoms (fractional coordinates):
In (0.0000, 0.9860, 0.0118)
In (0.0000, 0.5140, 0.4882)
Ir (0.5000, 0.2500, 0.2500)
Mg (0.5000, 0.7500, 0.7500)

## Properties
**ΔE_f**: -0.054 eV per atom
**Space group**: P2/m (10)
**V**: 76.1 Å³/cell

***

# 4
Below is a relaxed structure of Na3Ag4Sn, with properties calculated at the PBE level.

a = 6.6953 Å, b = 6.6953 Å, c = 6.6953 Å
α = 82.34°, β = 124.80°, γ = 124.23°
Atoms (fractional coordinates):
Na (0.6057, 0.2937, 0.8994)
Na (0.8292, 0.0000, 0.8292)
Na (0.6057, 0.7063, 0.3120)
Ag (0.1418, 0.7750, 0.9168)
Ag (0.1418, 0.2250, 0.3668)
Ag (0.5457, 0.2170, 0.3287)
Ag (0.1117, 0.7830, 0.3287)
Sn (0.1695, 0.5000, 0.6695)

## Properties
**ΔE_f**: -0.001 eV per atom
**Space group**: Imm2 (44)
**V**: 195.8 Å³/cell

***

# 5
Below is a relaxed structure of Re2SbO, with properties calculated at the PBE level.

a = 4.5580 Å, b = 4.5580 Å, c = 7.5461 Å
α = 72.42°, β = 72.42°, γ = 90.00°
Atoms (fractional coordinates):
Re (0.4940, 0.1250, 0.2500)
Re (0.2560, 0.6250, 0.2500)
Re (0.3750, 0.5060, 0.7500)
Re (0.8750, 0.7440, 0.7500)
O (0.5000, 0.5000, 0.0000)
O (0.2500, 0.7500, 0.5000)
Sb (0.0000, 0.0000, 0.0000)
Sb (0.7500, 0.2500, 0.5000)

## Properties
**Space group**: I-42d (122)
**Relative energy among the computed polymorphs**: 0.000 eV/atom
**V**: 141.8 Å³/cell

***

# 6
Below is a relaxed structure of La3InCo, with properties calculated at the PBE level.

a = 7.1517 Å, b = 6.8044 Å, c = 6.7531 Å
α = 79.92°, β = 95.86°, γ = 116.48°
Atoms (fractional coordinates):
La (0.1936, 0.1797, 0.0870)
La (0.3472, 0.2021, 0.5951)
La (0.1678, 0.6457, 0.3055)
La (0.7974, 0.1621, 0.6659)
La (0.6775, 0.7202, 0.2113)
La (0.8335, 0.6749, 0.7641)
Co (0.9735, 0.0677, 0.3920)
Co (0.5149, 0.8721, 0.4578)
In (0.3253, 0.6732, 0.8034)
In (0.6945, 0.2264, 0.1671)

## Properties
**ΔE_f**: -0.233 eV per atom
**Space group**: P1 (1)
**Relative energy among the computed polymorphs**: 0.059 eV/atom
**V**: 289.5 Å³/cell

***

# 7
Below is a relaxed structure of RbTaHg2Pt, with properties calculated at the PBE level.

a = 5.4244 Å, b = 6.7500 Å, c = 5.4244 Å
α = 90.00°, β = 90.00°, γ = 90.00°
Each line ends with the local moment (μB).
Atoms (fractional coordinates):
Rb (0.0000, 0.5000, 0.0000)  0.04
Hg (0.0000, 0.0000, 0.5000)  0.06
Hg (0.5000, 0.0000, 0.0000)  0.06
Pt (0.5000, 0.5000, 0.5000)  -0.25
Ta (0.0000, 0.0000, 0.0000)  1.65

## Properties
**ΔE_f**: 1.517 eV per atom
**Space group**: P4/mmm (123)
**V**: 198.6 Å³/cell

***

# 8
Below is a relaxed structure of Tb4NdYSe8, with properties calculated at the PBE level.

a = 8.4944 Å, b = 8.4944 Å, c = 8.4910 Å
α = 59.99°, β = 59.99°, γ = 60.00°
Atoms (fractional coordinates):
Tb (0.6248, 0.6248, 0.1255)
Tb (0.9992, 0.5022, 0.4993)
Tb (0.5022, 0.9992, 0.4993)
Tb (0.9992, 0.9992, 0.4993)
Nd (0.3749, 0.3749, 0.8753)
Y (0.9994, 0.9994, 0.0017)
Se (0.2394, 0.7812, 0.7400)
Se (0.7812, 0.2394, 0.7400)
Se (0.2394, 0.2394, 0.7400)
Se (0.2396, 0.2396, 0.2813)
Se (0.7576, 0.2283, 0.2564)
Se (0.2283, 0.7576, 0.2564)
Se (0.7576, 0.7576, 0.2564)
Se (0.7570, 0.7570, 0.7291)

## Properties
**Space group**: R3m (160)
**V**: 433.1 Å³/cell
**Final energy**: -81.8 eV per cell

***

# 9
Below is a relaxed structure of K3Pu4O12, with properties calculated at the PBE level.

a = 7.3461 Å, b = 7.3461 Å, c = 7.3461 Å
α = 109.47°, β = 109.47°, γ = 109.47°
Each line ends with the local moment (μB).
Atoms (fractional coordinates):
K (0.5000, 0.5000, 0.0000)  0.00
K (0.0000, 0.5000, 0.5000)  0.00
K (0.5000, 0.0000, 0.5000)  0.00
Pu (0.5000, 0.5000, 0.5000)  3.20
Pu (0.5000, 0.0000, 0.0000)  3.20
Pu (0.0000, 0.0000, 0.5000)  3.20
Pu (0.0000, 0.5000, 0.0000)  3.20
O (0.2548, 0.7457, 0.0005)  -0.15
O (0.7452, 0.2543, 0.9995)  -0.15
O (0.2548, 0.2543, 0.5091)  -0.15
O (0.2543, 0.9995, 0.7452)  -0.15
O (0.0005, 0.2548, 0.7457)  -0.15
O (0.4909, 0.7452, 0.7457)  -0.15
O (0.7457, 0.4909, 0.7452)  -0.15
O (0.9995, 0.7452, 0.2543)  -0.15
O (0.7452, 0.7457, 0.4909)  -0.15
O (0.7457, 0.0005, 0.2548)  -0.15
O (0.5091, 0.2548, 0.2543)  -0.15
O (0.2543, 0.5091, 0.2548)  -0.15

## Properties
**Space group**: Im-3m (229)
**V**: 305.2 Å³/cell
**Final energy**: -169.0 eV per cell

***

# 10
Below is a relaxed structure of HoEr4TmS8, with properties calculated at the PBE level.

a = 7.9714 Å, b = 7.9714 Å, c = 7.9673 Å
α = 59.98°, β = 59.98°, γ = 60.00°
Atoms (fractional coordinates):
Ho (0.3751, 0.3751, 0.8747)
Er (0.6248, 0.6248, 0.1255)
Er (0.9999, 0.5003, 0.4999)
Er (0.5003, 0.9999, 0.4999)
Er (0.9999, 0.9999, 0.4999)
Tm (0.0000, 0.0000, 0.0001)
S (0.2412, 0.7743, 0.7434)
S (0.7743, 0.2412, 0.7434)
S (0.2412, 0.2412, 0.7434)
S (0.2422, 0.2422, 0.2734)
S (0.7585, 0.2270, 0.2561)
S (0.2270, 0.7585, 0.2561)
S (0.7585, 0.7585, 0.2561)
S (0.7573, 0.7573, 0.7282)

## Properties
**Space group**: R3m (160)
**V**: 357.9 Å³/cell
**Final energy**: -87.3 eV per cell

***

Q: Which of these has the lowest V?
A: MgIn2Ir